Model 1:
DFT (PBE) results for crystalline NaMo3Pd at its relaxed geometry.

Geometry as POSCAR:
```
NaMo3Pd
1.0
4.829 0.000 0.000
0.000 4.829 0.000
0.000 0.000 4.829
Na Mo Pd
1 3 1
Direct
0.500 0.500 0.500
0.000 0.500 0.000
0.000 0.000 0.500
0.500 0.000 0.000
0.000 0.000 0.000
```

Results
symmetry = Pm-3m

Model 2:
DFT (PBE) results for crystalline NaMo3Pd at its relaxed geometry.

Geometry as POSCAR:
```
NaMo3Pd
1.0
-4.083 1.453 1.108
-1.324 -4.222 0.658
1.259 0.273 4.284
Na Mo Pd
1 3 1
Direct
0.000 0.000 0.000
0.000 0.500 0.000
0.000 0.000 0.500
0.500 0.000 0.000
0.500 0.500 0.500
```

Results
symmetry = Pm-3m

Stability check: which of them is least stable? model 2.

Model 1:
DFT (PBE) results for crystalline Na2MoPd at its relaxed geometry.

Geometry as POSCAR:
```
Na2MoPd
1.0
-6.100 1.797 -5.425
-1.111 -8.157 -1.453
-5.420 -3.290 -1.436
Na Mo Pd
4 2 2
Direct
0.666 0.125 0.250
0.084 0.625 0.250
0.375 0.334 0.750
0.875 0.916 0.750
0.500 0.500 0.000
0.250 0.750 0.500
0.000 0.000 0.000
0.750 0.250 0.500
```

Results
symmetry = I-42d

Model 2:
DFT (PBE) results for crystalline Na2MoPd at its relaxed geometry.

Geometry as POSCAR:
```
Na2MoPd
1.0
3.483 -1.740 -2.987
1.765 -4.531 0.665
-1.073 -3.548 -3.216
Na Mo Pd
2 1 1
Direct
0.250 0.250 0.250
0.750 0.750 0.750
0.000 0.000 0.000
0.500 0.500 0.500
```

Results
symmetry = Fm-3m

Stability check: which of them is least stable? model 1.

Model 1:
DFT (PBE) results for crystalline Na2Mo2Pt at its relaxed geometry.

Geometry as POSCAR:
```
Na2Mo2Pt
1.0
-1.168 -3.396 -0.710
3.431 -1.019 -0.771
2.208 -4.105 6.564
Na Mo Pt
2 2 1
Direct
0.750 0.250 0.500
0.250 0.750 0.500
0.429 0.429 0.143
0.571 0.571 0.857
0.000 0.000 0.000
```

Results
symmetry = I4/mmm

Model 2:
DFT (PBE) results for crystalline Na2Mo2Pt at its relaxed geometry.

Geometry as POSCAR:
```
Na2Mo2Pt
1.0
6.463 0.000 0.000
0.000 6.463 0.000
0.000 0.000 5.380
Na Mo Pt
4 4 2
Direct
0.183 0.683 0.500
0.683 0.817 0.500
0.817 0.317 0.500
0.317 0.183 0.500
0.379 0.879 0.000
0.879 0.621 0.000
0.621 0.121 0.000
0.121 0.379 0.000
0.000 0.000 0.000
0.500 0.500 0.000
```

Results
symmetry = P4/mbm

Stability check: which of them is least stable? model 1.

Model 1:
DFT (PBE) results for crystalline NaMoPt2 at its relaxed geometry.

Geometry as POSCAR:
```
NaMoPt2
1.0
7.333 0.000 0.000
0.000 7.333 0.000
3.666 3.666 2.815
Na Mo Pt
2 2 4
Direct
0.500 0.500 0.000
0.250 0.750 0.500
0.000 0.000 0.000
0.750 0.250 0.500
0.661 0.125 0.250
0.089 0.625 0.250
0.375 0.339 0.750
0.875 0.911 0.750
```

Results
symmetry = I-42d

Model 2:
DFT (PBE) results for crystalline NaMoPt2 at its relaxed geometry.

Geometry as POSCAR:
```
NaMoPt2
1.0
-3.313 -2.361 1.968
-4.254 1.517 -0.155
-3.069 -2.135 -2.539
Na Mo Pt
1 1 2
Direct
0.000 0.000 0.000
0.500 0.500 0.500
0.250 0.250 0.250
0.750 0.750 0.750
```

Results
symmetry = Fm-3m

Stability check: which of them is least stable? model 1.

Model 1:
DFT (PBE) results for crystalline NaMo2Pt at its relaxed geometry.

Geometry as POSCAR:
```
NaMo2Pt
1.0
-2.967 1.259 3.183
-1.423 -2.270 -3.652
3.410 -19.931 11.061
Na Mo Pt
6 12 6
Direct
0.000 0.000 0.956
0.333 0.667 0.623
0.667 0.333 0.289
0.000 0.000 0.693
0.333 0.667 0.360
0.667 0.333 0.027
0.000 0.000 0.556
0.333 0.667 0.223
0.667 0.333 0.890
0.000 0.000 0.451
0.333 0.667 0.118
0.667 0.333 0.785
0.000 0.000 0.199
0.333 0.667 0.866
0.667 0.333 0.533
0.000 0.000 0.823
0.333 0.667 0.490
0.667 0.333 0.156
0.000 0.000 0.314
0.333 0.667 0.981
0.667 0.333 0.647
0.000 0.000 0.084
0.333 0.667 0.751
0.667 0.333 0.417
```

Results
symmetry = R3m

Model 2:
DFT (PBE) results for crystalline NaMo2Pt at its relaxed geometry.

Geometry as POSCAR:
```
NaMo2Pt
1.0
2.767 0.000 0.001
0.000 4.319 0.000
-1.011 0.000 11.608
Na Mo Pt
2 4 2
Direct
0.219 0.250 0.924
0.781 0.750 0.076
0.063 0.250 0.663
0.937 0.750 0.337
0.650 0.250 0.445
0.350 0.750 0.555
0.353 0.250 0.217
0.647 0.750 0.783
```

Results
symmetry = P2_1/m

Model 3:
DFT (PBE) results for crystalline NaMo2Pt at its relaxed geometry.

Geometry as POSCAR:
```
NaMo2Pt
1.0
-1.754 -2.163 -0.496
3.042 -3.523 -2.103
3.583 -5.177 8.317
Na Mo Pt
2 4 2
Direct
0.872 0.720 0.071
0.128 0.280 0.929
0.736 0.241 0.650
0.264 0.759 0.350
0.914 0.724 0.575
0.086 0.276 0.425
0.372 0.809 0.789
0.628 0.191 0.211
```

Results
symmetry = P-1

Stability check: which of them is least stable? model 1.

Model 1:
DFT (PBE) results for crystalline NaMo2Pt at its relaxed geometry.

Geometry as POSCAR:
```
NaMo2Pt
1.0
-1.598 -1.796 -1.393
4.236 -2.743 -0.569
-1.942 -4.716 8.383
Na Mo Pt
2 4 2
Direct
0.706 0.889 0.118
0.200 0.389 0.145
0.883 0.583 0.842
0.377 0.082 0.421
0.702 0.911 0.643
0.202 0.410 0.620
0.271 0.107 0.868
0.764 0.605 0.396
```

Results
symmetry = P1

Model 2:
DFT (PBE) results for crystalline NaMo2Pt at its relaxed geometry.

Geometry as POSCAR:
```
NaMo2Pt
1.0
7.580 0.000 0.000
0.000 7.580 0.000
3.790 3.790 2.569
Na Mo Pt
2 4 2
Direct
0.500 0.500 0.000
0.250 0.750 0.500
0.663 0.125 0.250
0.087 0.625 0.250
0.375 0.337 0.750
0.875 0.913 0.750
0.000 0.000 0.000
0.750 0.250 0.500
```

Results
symmetry = I-42d

Model 3:
DFT (PBE) results for crystalline NaMo2Pt at its relaxed geometry.

Geometry as POSCAR:
```
NaMo2Pt
1.0
-4.228 1.378 0.027
1.716 -1.980 3.593
7.896 24.041 9.478
Na Mo Pt
6 12 6
Direct
0.000 0.000 0.920
0.333 0.667 0.587
0.667 0.333 0.253
0.000 0.000 0.305
0.333 0.667 0.971
0.667 0.333 0.638
0.000 0.000 0.505
0.333 0.667 0.172
0.667 0.333 0.839
0.000 0.000 0.413
0.333 0.667 0.080
0.667 0.333 0.746
0.000 0.000 0.800
0.333 0.667 0.467
0.667 0.333 0.133
0.000 0.000 0.090
0.333 0.667 0.757
0.667 0.333 0.424
0.000 0.000 0.190
0.333 0.667 0.857
0.667 0.333 0.523
0.000 0.000 0.700
0.333 0.667 0.367
0.667 0.333 0.034
```

Results
symmetry = R3m

Model 4:
DFT (PBE) results for crystalline NaMo2Pt at its relaxed geometry.

Geometry as POSCAR:
```
NaMo2Pt
1.0
4.576 0.000 0.000
-2.288 3.963 0.000
0.000 0.000 25.578
Na Mo Pt
6 12 6
Direct
0.000 0.000 0.797
0.333 0.667 0.464
0.667 0.333 0.131
0.000 0.000 0.176
0.333 0.667 0.842
0.667 0.333 0.509
0.000 0.000 0.585
0.333 0.667 0.252
0.667 0.333 0.918
0.000 0.000 0.049
0.333 0.667 0.716
0.667 0.333 0.383
0.000 0.000 0.954
0.333 0.667 0.621
0.667 0.333 0.287
0.000 0.000 0.677
0.333 0.667 0.343
0.667 0.333 0.010
0.000 0.000 0.288
0.333 0.667 0.954
0.667 0.333 0.621
0.000 0.000 0.399
0.333 0.667 0.066
0.667 0.333 0.733
```

Results
symmetry = R3m

Stability check: which of them is least stable? model 2.

Model 1:
DFT (PBE) results for crystalline NaMo2Pt at its relaxed geometry.

Geometry as POSCAR:
```
NaMo2Pt
1.0
4.482 0.000 0.000
-2.241 3.882 0.000
0.000 0.000 23.968
Na Mo Pt
6 12 6
Direct
0.000 0.000 0.319
0.000 0.000 0.681
0.333 0.667 0.985
0.333 0.667 0.348
0.667 0.333 0.652
0.667 0.333 0.015
0.000 0.000 0.450
0.000 0.000 0.550
0.333 0.667 0.116
0.333 0.667 0.217
0.667 0.333 0.783
0.667 0.333 0.884
0.000 0.000 0.812
0.000 0.000 0.188
0.333 0.667 0.478
0.333 0.667 0.855
0.667 0.333 0.145
0.667 0.333 0.522
0.000 0.000 0.075
0.000 0.000 0.925
0.333 0.667 0.742
0.333 0.667 0.591
0.667 0.333 0.409
0.667 0.333 0.258
```

Results
symmetry = R-3m

Model 2:
DFT (PBE) results for crystalline NaMo2Pt at its relaxed geometry.

Geometry as POSCAR:
```
NaMo2Pt
1.0
8.868 0.000 0.000
0.000 4.196 0.000
-3.562 0.000 7.956
Na Mo Pt
4 8 4
Direct
0.558 0.000 0.894
0.558 0.500 0.394
0.673 0.000 0.637
0.673 0.500 0.137
0.183 0.000 0.633
0.183 0.500 0.133
0.904 0.000 0.417
0.904 0.500 0.917
0.262 0.000 0.379
0.262 0.500 0.879
0.068 0.000 0.865
0.068 0.500 0.365
0.375 0.000 0.128
0.375 0.500 0.628
0.940 0.000 0.120
0.940 0.500 0.620
```

Results
symmetry = Cm

Model 3:
DFT (PBE) results for crystalline NaMo2Pt at its relaxed geometry.

Geometry as POSCAR:
```
NaMo2Pt
1.0
2.757 0.000 0.007
0.000 4.564 0.000
-0.107 0.000 11.076
Na Mo Pt
2 4 2
Direct
0.031 0.000 0.061
0.516 0.500 0.202
0.797 0.000 0.799
0.287 0.500 0.464
0.018 0.500 0.687
0.514 0.000 0.576
0.438 0.500 0.909
0.922 0.000 0.354
```

Results
symmetry = Pm

Stability check: which of them is least stable? model 2.

Model 1:
DFT (PBE) results for crystalline NaMo2Pt at its relaxed geometry.

Geometry as POSCAR:
```
NaMo2Pt
1.0
-2.191 2.747 -2.736
-1.920 -3.778 1.370
-3.492 4.385 7.200
Na Mo Pt
2 4 2
Direct
0.667 0.333 0.773
0.000 0.000 0.955
0.333 0.667 0.252
0.333 0.667 0.528
0.000 0.000 0.296
0.667 0.333 0.424
0.667 0.333 0.130
0.000 0.000 0.589
```

Results
symmetry = P3m1

Model 2:
DFT (PBE) results for crystalline NaMo2Pt at its relaxed geometry.

Geometry as POSCAR:
```
NaMo2Pt
1.0
-0.528 3.369 -6.341
3.435 -2.371 -1.545
-5.903 -6.861 -2.595
Na Mo Pt
4 8 4
Direct
0.894 0.000 0.330
0.106 0.000 0.670
0.894 0.500 0.830
0.106 0.500 0.170
0.364 0.000 0.407
0.636 0.000 0.593
0.364 0.500 0.907
0.636 0.500 0.093
0.546 0.000 0.846
0.454 0.000 0.154
0.546 0.500 0.346
0.454 0.500 0.654
0.173 0.000 0.972
0.827 0.000 0.028
0.173 0.500 0.472
0.827 0.500 0.528
```

Results
symmetry = C2/m

Model 3:
DFT (PBE) results for crystalline NaMo2Pt at its relaxed geometry.

Geometry as POSCAR:
```
NaMo2Pt
1.0
-0.504 -2.627 0.618
4.744 -2.230 -1.216
4.049 0.433 9.128
Na Mo Pt
2 4 2
Direct
0.404 0.274 0.914
0.596 0.726 0.086
0.376 0.875 0.396
0.624 0.125 0.604
0.239 0.425 0.381
0.761 0.575 0.619
0.858 0.178 0.201
0.142 0.822 0.799
```

Results
symmetry = P-1

Stability check: which of them is least stable? model 2.